No. 1
## V3FeH (GGA-PBE)

Data for V3FeH after structural relaxation.

Calculated values
Total moment, μB/atom: 0.241
N(E_F), states/eV/f.u.: 7.1
Space group: No. 221
Energy above the lowest structure with this stoichiometry, meV per atom: 0

Lattice parameters (Å, degrees): 3.7740 3.7740 3.7740 90.00 90.00 90.00
Closest atoms and distances in Å follow each position.
Fractional coordinates of all 5 atoms:
V (0.0000, 0.0000, 0.5000)  2 H 1.89
V (0.0000, 0.5000, 0.0000)  2 H 1.89
V (0.5000, 0.0000, 0.0000)  2 H 1.89
Fe (0.5000, 0.5000, 0.5000)  12 V 2.67
H (0.0000, 0.0000, 0.0000)  6 V 1.89



No. 2
## SnPbIN2 (GGA-PBE)

Data for SnPbIN2 after structural relaxation.

Calculated values
Total moment, μB/atom: 0.208
N(E_F), states/eV/f.u.: 1.9
Space group: No. 123
Energy above the lowest structure with this stoichiometry, meV per atom: 0

Lattice parameters (Å, degrees): 4.3714 4.3714 5.9972 90.00 90.00 90.00
Closest atoms and distances in Å follow each position.
Fractional coordinates of all 5 atoms:
Sn (0.0000, 0.0000, 0.0000)  4 N 2.19
Pb (0.5000, 0.5000, 0.5000)  4 I 3.09
I (0.0000, 0.0000, 0.5000)  2 Sn 3.00, 4 Pb 3.09
N (0.0000, 0.5000, 0.0000)  2 Sn 2.19
N (0.5000, 0.0000, 0.0000)  2 Sn 2.19



No. 3
## NaMgAl2Ge2 (GGA-PBE)

Data for NaMgAl2Ge2 after structural relaxation.

Calculated values
Total moment, μB/atom: 0.000
N(E_F), states/eV/f.u.: 1.4
Space group: No. 164
ΔH_f (0 K), kcal/mol of atoms: -0.88

Lattice parameters (Å, degrees): 4.5975 4.5975 6.7349 90.00 90.00 120.00
Closest atoms and distances in Å follow each position.
Fractional coordinates of all 6 atoms:
Na (0.0000, 0.0000, 0.0000)  6 Ge 3.26, 2 Mg 3.37, 6 Al 3.39
Mg (0.0000, 0.0000, 0.5000)  6 Al 2.94, 6 Ge 3.04
Al (0.3333, 0.6667, 0.6863)  4 Ge 2.66-2.73, 3 Mg 2.94
Al (0.6667, 0.3333, 0.3137)  4 Ge 2.66-2.73, 3 Mg 2.94
Ge (0.3333, 0.6667, 0.2810)  4 Al 2.66-2.73
Ge (0.6667, 0.3333, 0.7190)  4 Al 2.66-2.73



No. 4
## BaSmSn2 (GGA-PBE)

Data for BaSmSn2 after structural relaxation.

Calculated values
Total moment, μB/atom: 0.000
N(E_F), states/eV/f.u.: 2.2
Space group: No. 123
ΔH_f (0 K), kcal/mol of atoms: -14.75

Lattice parameters (Å, degrees): 4.1849 4.1849 7.5666 90.00 90.00 90.00
Closest atoms and distances in Å follow each position.
Fractional coordinates of all 4 atoms:
Ba (0.0000, 0.0000, 0.0000)  8 Sn 3.74, 2 Sm 3.78
Sm (0.0000, 0.0000, 0.5000)  8 Sn 3.32
Sn (0.5000, 0.5000, 0.3013)  1 Sn 3.01, 4 Sm 3.32
Sn (0.5000, 0.5000, 0.6987)  1 Sn 3.01, 4 Sm 3.32



No. 5
## CeSm3Ge2 (GGA-PBE)

Data for CeSm3Ge2 after structural relaxation.

Calculated values
Total moment, μB/atom: 0.000
N(E_F), states/eV/f.u.: 7.8
Space group: No. 115
ΔH_f (0 K), kcal/mol of atoms: -13.38

Lattice parameters (Å, degrees): 4.3975 4.3975 8.3253 90.00 90.00 90.00
Closest atoms and distances in Å follow each position.
Fractional coordinates of all 6 atoms:
Ce (0.0000, 0.0000, 0.0000)  4 Sm 3.11, 4 Ge 3.18
Sm (0.0000, 0.5000, 0.3583)  5 Ge 3.05-3.19
Sm (0.5000, 0.0000, 0.6417)  5 Ge 3.05-3.19
Sm (0.5000, 0.5000, 0.0000)  4 Ce 3.11, 4 Ge 3.18
Ge (0.0000, 0.5000, 0.7248)  7 Sm 3.05-3.19, 2 Ce 3.18
Ge (0.5000, 0.0000, 0.2752)  7 Sm 3.05-3.19, 2 Ce 3.18



No. 6
## CuRh3W (GGA-PBE)

Data for CuRh3W after structural relaxation.

Calculated values
Total moment, μB/atom: 0.000
N(E_F), states/eV/f.u.: 6.0
Space group: No. 221
Energy above the lowest structure with this stoichiometry, meV per atom: 1098
ΔH_f (0 K), kcal/mol of atoms: 31.86

Lattice parameters (Å, degrees): 4.3741 4.3741 4.3741 90.00 90.00 90.00
Closest atoms and distances in Å follow each position.
Fractional coordinates of all 5 atoms:
Cu (0.0000, 0.0000, 0.0000)  6 Rh 2.19
Rh (0.0000, 0.0000, 0.5000)  2 Cu 2.19
Rh (0.0000, 0.5000, 0.0000)  2 Cu 2.19
Rh (0.5000, 0.0000, 0.0000)  2 Cu 2.19
W (0.5000, 0.5000, 0.5000)  12 Rh 3.09



No. 7
## ErTlSe2 (GGA-PBE)

Data for ErTlSe2 after structural relaxation.

Calculated values
Total moment, μB/atom: 0.000
E_tot, eV per atom: -4.840
Space group: No. 160

Lattice parameters (Å, degrees): 8.2451 8.2451 8.2451 29.05 29.05 29.05
Closest atoms and distances in Å follow each position.
Fractional coordinates of all 4 atoms:
Er (0.0000, 0.0000, 0.0000)  6 Se 2.86-2.87
Tl (0.8310, 0.8310, 0.8310)  6 Se 3.32-3.40
Se (0.4004, 0.4004, 0.4004)  3 Er 2.87
Se (0.5999, 0.5999, 0.5999)  3 Er 2.86



No. 8
## Li4LaEr (GGA-PBE)

Data for Li4LaEr after structural relaxation.

Calculated values
Total moment, μB/atom: 0.000
N(E_F), states/eV/f.u.: 6.9
Space group: No. 216
ΔH_f (0 K), kcal/mol of atoms: 2.61

Lattice parameters (Å, degrees): 5.9334 5.9334 5.9334 60.00 60.00 60.00
Closest atoms and distances in Å follow each position.
Fractional coordinates of all 6 atoms:
Li (0.3758, 0.3758, 0.3758)  6 Li 2.95-2.99
Li (0.3758, 0.3758, 0.8725)  6 Li 2.95-2.99
Li (0.3758, 0.8725, 0.3758)  6 Li 2.95-2.99
Li (0.8725, 0.3758, 0.3758)  6 Li 2.95-2.99
La (0.0000, 0.0000, 0.0000)  12 Li 3.48, 4 Er 3.63
Er (0.7500, 0.7500, 0.7500)  12 Li 3.48, 4 La 3.63



No. 9
## NaCa3Ag8 (GGA-PBE)

Data for NaCa3Ag8 after structural relaxation.

Calculated values
Total moment, μB/atom: 0.000
N(E_F), states/eV/f.u.: 8.2
Space group: No. 160
ΔH_f (0 K), kcal/mol of atoms: -4.93

Lattice parameters (Å, degrees): 9.9520 9.9520 9.9520 33.60 33.60 33.60
Closest atoms and distances in Å follow each position.
Fractional coordinates of all 12 atoms:
Na (0.0000, 0.0000, 0.0000)  12 Ag 3.33-3.41, 4 Ca 3.46-3.47
Ca (0.1230, 0.1230, 0.1230)  12 Ag 3.30-3.46, 1 Na 3.46, 3 Ca 3.58
Ca (0.5036, 0.5036, 0.5036)  12 Ag 3.34-3.39, 4 Ca 3.58-3.59
Ca (0.6311, 0.6311, 0.6311)  12 Ag 3.29-3.44, 3 Na 3.47, 1 Ca 3.59
Ag (0.0648, 0.0648, 0.5630)  6 Ag 2.87-2.89
Ag (0.0648, 0.5630, 0.0648)  6 Ag 2.87-2.89
Ag (0.0674, 0.5642, 0.5642)  6 Ag 2.86-2.89
Ag (0.3148, 0.3148, 0.3148)  6 Ag 2.88
Ag (0.5630, 0.0648, 0.0648)  6 Ag 2.87-2.89
Ag (0.5642, 0.0674, 0.5642)  6 Ag 2.86-2.89
Ag (0.5642, 0.5642, 0.0674)  6 Ag 2.86-2.89
Ag (0.8147, 0.8147, 0.8147)  6 Ag 2.87



No. 10
## TaHg2Cl (GGA-PBE)

Data for TaHg2Cl after structural relaxation.

Calculated values
Total moment, μB/atom: 0.330
N(E_F), states/eV/f.u.: 3.4
Space group: No. 119
Energy above the lowest structure with this stoichiometry, meV per atom: 784

Lattice parameters (Å, degrees): 5.5450 5.5450 5.5450 134.67 134.67 66.04
Closest atoms and distances in Å follow each position.
Fractional coordinates of all 4 atoms:
Ta (0.0000, 0.0000, 0.0000)  8 Hg 3.02-3.16, 4 Cl 3.16
Hg (0.5000, 0.5000, 0.0000)  4 Ta 3.02, 4 Hg 3.16, 4 Cl 3.16
Hg (0.7500, 0.2500, 0.5000)  4 Cl 3.02, 4 Hg 3.16, 4 Ta 3.16
Cl (0.2500, 0.7500, 0.5000)  8 Hg 3.02-3.16, 4 Ta 3.16



No. 11
## SrRe3P (GGA-PBE)

Data for SrRe3P after structural relaxation.

Calculated values
Total moment, μB/atom: 0.295
N(E_F), states/eV/f.u.: 5.6
Space group: No. 221
Energy above the lowest structure with this stoichiometry, meV per atom: 0
ΔH_f (0 K), kcal/mol of atoms: 19.26

Lattice parameters (Å, degrees): 4.5575 4.5575 4.5575 90.00 90.00 90.00
Closest atoms and distances in Å follow each position.
Fractional coordinates of all 5 atoms:
Sr (0.0000, 0.0000, 0.0000)  12 Re 3.22
Re (0.0000, 0.5000, 0.5000)  2 P 2.28
Re (0.5000, 0.0000, 0.5000)  2 P 2.28
Re (0.5000, 0.5000, 0.0000)  2 P 2.28
P (0.5000, 0.5000, 0.5000)  6 Re 2.28



No. 12
## YTeIO2 (GGA-PBE)

Data for YTeIO2 after structural relaxation.

Calculated values
Total moment, μB/atom: 0.000
N(E_F), states/eV/f.u.: 7.8
Space group: No. 123
Energy above the lowest structure with this stoichiometry, meV per atom: 0

Lattice parameters (Å, degrees): 4.3720 4.3720 7.0019 90.00 90.00 90.00
Closest atoms and distances in Å follow each position.
Fractional coordinates of all 5 atoms:
Y (0.0000, 0.0000, 0.0000)  4 O 2.19
Te (0.5000, 0.5000, 0.5000)  4 I 3.09
I (0.0000, 0.0000, 0.5000)  4 Te 3.09
O (0.0000, 0.5000, 0.0000)  2 Y 2.19
O (0.5000, 0.0000, 0.0000)  2 Y 2.19



Copy entry 1 word for word.
## V3FeH (GGA-PBE)

Data for V3FeH after structural relaxation.

Calculated values
Total moment, μB/atom: 0.241
N(E_F), states/eV/f.u.: 7.1
Space group: No. 221
Energy above the lowest structure with this stoichiometry, meV per atom: 0

Lattice parameters (Å, degrees): 3.7740 3.7740 3.7740 90.00 90.00 90.00
Closest atoms and distances in Å follow each position.
Fractional coordinates of all 5 atoms:
V (0.0000, 0.0000, 0.5000)  2 H 1.89
V (0.0000, 0.5000, 0.0000)  2 H 1.89
V (0.5000, 0.0000, 0.0000)  2 H 1.89
Fe (0.5000, 0.5000, 0.5000)  12 V 2.67
H (0.0000, 0.0000, 0.0000)  6 V 1.89